No. 1
A plane-wave DFT calculation with PBE was carried out for a relaxed structure of HfFeOs2.

Unit cell a=3.9484 b=3.9484 c=9.2747 alpha=77.71 beta=77.71 gamma=90.00
Last column: nearest neighbours and their distance in Å.
Atoms (fractional coordinates):
1 Os 0.1899 0.6250 0.2500  2 Os 2.46, 2 Fe 2.53, 2 Hf 2.72
2 Os 0.3750 0.4399 0.7500  2 Os 2.46, 2 Fe 2.53, 2 Hf 2.72
3 Os 0.5601 0.1250 0.2500  2 Os 2.46, 2 Fe 2.53, 2 Hf 2.72
4 Os 0.8750 0.8101 0.7500  2 Os 2.46, 2 Fe 2.53, 2 Hf 2.72
5 Hf 0.0000 0.0000 0.0000  4 Os 2.72, 4 Fe 2.79
6 Hf 0.7500 0.2500 0.5000  4 Os 2.72, 4 Fe 2.79
7 Fe 0.5000 0.5000 0.0000  4 Os 2.53, 4 Hf 2.79
8 Fe 0.2500 0.7500 0.5000  4 Os 2.53, 4 Hf 2.79

Results
- VASP energy: -9.71 eV per atom
- Calculated density: 14.808 g cm⁻³
- M_tot: 2.31 μB/f.u.
- E above lowest polymorph: 577 meV per atom
- SG: I-42d (122)
- Calculated volume: 17.24 Å³ per atom

=====

No. 2
A plane-wave DFT calculation with PBE was carried out for a relaxed structure of ZrNiW2.

Unit cell a=5.3351 b=5.3351 c=5.3351 alpha=144.58 beta=130.93 gamma=61.96
Last column: nearest neighbours and their distance in Å.
Atoms (fractional coordinates):
1 Zr 0.7500 0.2500 0.5000  4 Ni 2.75, 4 W 2.86
2 W 0.4923 0.4923 0.0000  2 Ni 2.75, 4 W 2.75, 2 Zr 2.86
3 W 0.0077 0.0077 0.0000  2 Ni 2.75, 4 W 2.75, 2 Zr 2.86
4 Ni 0.2500 0.7500 0.5000  4 Zr 2.75, 4 W 2.75

Results
- VASP energy: -9.90 eV per atom
- Calculated density: 13.065 g cm⁻³
- M_tot: 0.00 μB/f.u.
- E above lowest polymorph: 124 meV per atom
- SG: Immm (71)
- Calculated volume: 16.45 Å³ per atom

=====

No. 3
A plane-wave DFT calculation with PBE was carried out for a relaxed structure of Np2CoSi3Ni12.

Unit cell a=6.1790 b=6.1790 c=6.1790 alpha=83.55 beta=83.55 gamma=83.55
Last column: nearest neighbours and their distance in Å.
Atoms (fractional coordinates):
1 Co 0.0000 0.0000 0.0000  6 Ni 2.41
2 Ni 0.3729 0.9517 0.3729  2 Si 2.35, 2 Ni 2.46-2.50
3 Ni 0.9517 0.3729 0.3729  2 Si 2.35, 2 Ni 2.46-2.50
4 Ni 0.6931 0.1950 0.1950  1 Si 2.30, 1 Co 2.41, 1 Np 2.42, 3 Ni 2.46-2.47
5 Ni 0.8050 0.8050 0.3069  1 Si 2.30, 1 Co 2.41, 1 Np 2.42, 3 Ni 2.46-2.47
6 Ni 0.0483 0.6271 0.6271  2 Si 2.35, 2 Ni 2.46-2.50
7 Ni 0.6271 0.6271 0.0483  2 Si 2.35, 2 Ni 2.46-2.50
8 Ni 0.8050 0.3069 0.8050  1 Si 2.30, 1 Co 2.41, 1 Np 2.42, 3 Ni 2.46-2.47
9 Ni 0.3729 0.3729 0.9517  2 Si 2.35, 2 Ni 2.46-2.50
10 Ni 0.3069 0.8050 0.8050  1 Si 2.30, 1 Co 2.41, 1 Np 2.42, 3 Ni 2.46-2.47
11 Ni 0.6271 0.0483 0.6271  2 Si 2.35, 2 Ni 2.46-2.50
12 Ni 0.1950 0.1950 0.6931  1 Si 2.30, 1 Co 2.41, 1 Np 2.42, 3 Ni 2.46-2.47
13 Ni 0.1950 0.6931 0.1950  1 Si 2.30, 1 Co 2.41, 1 Np 2.42, 3 Ni 2.46-2.47
14 Np 0.5982 0.5982 0.5982  1 Np 2.33, 3 Ni 2.42
15 Np 0.4018 0.4018 0.4018  1 Np 2.33, 3 Ni 2.42
16 Si 0.0000 0.0000 0.5000  6 Ni 2.30-2.35
17 Si 0.0000 0.5000 0.0000  6 Ni 2.30-2.35
18 Si 0.5000 0.0000 0.0000  6 Ni 2.30-2.35

Results
- VASP energy: -6.61 eV per atom
- Calculated density: 9.469 g cm⁻³
- M_tot: 5.03 μB/f.u.
- Raw formation energy: -0.44 kcal/mol of atoms
- SG: R-3m (166)
- Calculated volume: 12.87 Å³ per atom

=====

No. 4
A plane-wave DFT calculation with PBE was carried out for a relaxed structure of PmDyHo5Er2.

Unit cell a=5.5739 b=10.2459 c=10.5133 alpha=90.00 beta=90.00 gamma=105.78
Last column: nearest neighbours and their distance in Å.
Atoms (fractional coordinates):
1 Er 0.1105 0.2210 0.7359  7 Ho 3.37-3.72, 1 Dy 3.39, 2 Pm 3.63
2 Er 0.8895 0.7790 0.2359  7 Ho 3.37-3.72, 1 Dy 3.39, 2 Pm 3.63
3 Er 0.8866 0.7732 0.8187  9 Ho 3.31-3.62, 1 Dy 3.65
4 Er 0.1134 0.2268 0.3187  9 Ho 3.31-3.62, 1 Dy 3.65
5 Ho 0.7187 0.4373 0.8115  1 Pm 3.04, 1 Er 3.31, 2 Ho 3.38
6 Ho 0.3886 0.7772 0.0229  6 Ho 3.45-3.78, 4 Er 3.52-3.57, 1 Dy 3.73
7 Ho 0.2988 0.5976 0.7091  4 Ho 3.38-3.74, 3 Dy 3.47-3.74, 3 Er 3.48-3.72, 1 Pm 3.55
8 Ho 0.5215 0.0430 0.2370  2 Pm 3.08-3.24, 2 Er 3.43
9 Ho 0.0179 0.0357 0.0247  2 Pm 3.17, 3 Er 3.37-3.54
10 Ho 0.9821 0.9643 0.5247  2 Pm 3.17, 3 Er 3.37-3.54
11 Ho 0.7012 0.4024 0.2091  4 Ho 3.38-3.74, 3 Dy 3.47-3.74, 3 Er 3.48-3.72, 1 Pm 3.55
12 Ho 0.2813 0.5627 0.3115  1 Pm 3.04, 1 Er 3.31, 2 Ho 3.38
13 Ho 0.6114 0.2228 0.5229  6 Ho 3.45-3.78, 4 Er 3.52-3.57, 1 Dy 3.73
14 Ho 0.4785 0.9570 0.7370  2 Pm 3.08-3.24, 2 Er 3.43
15 Dy 0.8002 0.6005 0.5119  2 Er 3.39-3.65, 8 Ho 3.47-3.74, 2 Pm 3.65
16 Dy 0.1998 0.3995 0.0119  2 Er 3.39-3.65, 8 Ho 3.47-3.74, 2 Pm 3.65
17 Pm 0.4158 0.8316 0.4521  5 Ho 3.04-3.24
18 Pm 0.5842 0.1684 0.9521  5 Ho 3.04-3.24

Results
- VASP energy: -4.44 eV per atom
- Calculated density: 8.431 g cm⁻³
- M_tot: 0.00 μB/f.u.
- SG: Cmc2_1 (36)
- Calculated volume: 32.10 Å³ per atom

=====

No. 5
A plane-wave DFT calculation with PBE was carried out for a relaxed structure of Nd2HfScAs4.

Unit cell a=4.0505 b=7.0088 c=7.0388 alpha=109.31 beta=90.00 gamma=90.00
Last column: nearest neighbours and their distance in Å.
Atoms (fractional coordinates):
1 Sc 0.0000 0.0000 0.0000  6 As 2.77-2.78
2 Nd 0.0000 0.5000 0.5000  6 As 2.96-2.97
3 Nd 0.5000 0.0000 0.5000  6 As 2.98
4 Hf 0.5000 0.5000 0.0000  6 As 2.75-2.76
5 As 0.0000 0.2606 0.7769  2 Hf 2.76, 1 Sc 2.77, 3 Nd 2.96-2.98
6 As 0.5000 0.7566 0.7765  1 Hf 2.75, 2 Sc 2.78, 3 Nd 2.97-2.98
7 As 0.0000 0.7394 0.2231  2 Hf 2.76, 1 Sc 2.77, 3 Nd 2.96-2.98
8 As 0.5000 0.2434 0.2235  1 Hf 2.75, 2 Sc 2.78, 3 Nd 2.97-2.98

Results
- VASP energy: -6.90 eV per atom
- Calculated density: 7.146 g cm⁻³
- M_tot: 0.00 μB/f.u.
- SG: P2/m (10)
- Calculated volume: 23.57 Å³ per atom

=====

No. 6
A plane-wave DFT calculation with PBE was carried out for a relaxed structure of Cd3NiN.

Unit cell a=4.5129 b=4.5129 c=4.5129 alpha=90.00 beta=90.00 gamma=90.00
Last column: nearest neighbours and their distance in Å.
Atoms (fractional coordinates):
1 Ni 0.5000 0.5000 0.5000  12 Cd 3.19
2 Cd 0.5000 0.0000 0.0000  2 N 2.26
3 Cd 0.0000 0.0000 0.5000  2 N 2.26
4 Cd 0.0000 0.5000 0.0000  2 N 2.26
5 N 0.0000 0.0000 0.0000  6 Cd 2.26

Results
- VASP energy: -2.68 eV per atom
- Calculated density: 7.406 g cm⁻³
- M_tot: 0.00 μB/f.u.
- Raw formation energy: 15.85 kcal/mol of atoms
- E above lowest polymorph: 0 meV per atom
- SG: Pm-3m (221)
- Calculated volume: 18.38 Å³ per atom

=====

No. 7
A plane-wave DFT calculation with PBE was carried out for a relaxed structure of AgPSe2.

Unit cell a=4.7383 b=4.7383 c=4.7383 alpha=60.00 beta=60.00 gamma=60.00
Last column: nearest neighbours and their distance in Å.
Atoms (fractional coordinates):
1 Se 0.7500 0.7500 0.7500  4 Ag 2.90, 4 Se 2.90
2 Se 0.0000 0.0000 0.0000  4 Se 2.90, 4 P 2.90
3 P 0.2500 0.2500 0.2500  4 Ag 2.90, 4 Se 2.90
4 Ag 0.5000 0.5000 0.5000  4 Se 2.90, 4 P 2.90

Results
- VASP energy: -3.17 eV per atom
- Calculated density: 6.551 g cm⁻³
- M_tot: 0.00 μB/f.u.
- Raw formation energy: 14.63 kcal/mol of atoms
- SG: F-43m (216)
- Calculated volume: 18.81 Å³ per atom

=====

No. 8
A plane-wave DFT calculation with PBE was carried out for a relaxed structure of CaSc2Cl.

Unit cell a=3.4084 b=3.4084 c=9.9070 alpha=90.00 beta=90.00 gamma=117.47
Last column: nearest neighbours and their distance in Å.
Atoms (fractional coordinates):
1 Sc 0.0000 0.0000 0.5405  2 Cl 2.73
2 Sc 0.0000 0.0000 0.9595  2 Cl 2.73
3 Cl 0.5000 0.5000 0.7500  4 Sc 2.73
4 Ca 0.5000 0.5000 0.2500  4 Sc 3.38, 6 Ca 3.41-3.54

Results
- VASP energy: -4.49 eV per atom
- Calculated density: 2.690 g cm⁻³
- M_tot: 0.16 μB/f.u.
- Raw formation energy: -8.42 kcal/mol of atoms
- E above lowest polymorph: 282 meV per atom
- SG: Cmmm (65)
- Calculated volume: 25.53 Å³ per atom

=====

No. 9
A plane-wave DFT calculation with PBE was carried out for a relaxed structure of Zn3PbAu.

Unit cell a=4.9243 b=4.9243 c=4.9243 alpha=90.00 beta=90.00 gamma=90.00
Last column: nearest neighbours and their distance in Å.
Atoms (fractional coordinates):
1 Au 0.0000 0.0000 0.0000  6 Zn 2.46
2 Zn 0.5000 0.0000 0.0000  2 Au 2.46
3 Zn 0.0000 0.5000 0.0000  2 Au 2.46
4 Zn 0.0000 0.0000 0.5000  2 Au 2.46
5 Pb 0.5000 0.5000 0.5000  12 Zn 3.48

Results
- VASP energy: -2.01 eV per atom
- Calculated density: 8.349 g cm⁻³
- M_tot: 0.00 μB/f.u.
- E above lowest polymorph: 0 meV per atom
- SG: Pm-3m (221)
- Calculated volume: 23.88 Å³ per atom

=====

No. 10
A plane-wave DFT calculation with PBE was carried out for a relaxed structure of SmPuSc2.

Unit cell a=5.3620 b=5.3620 c=5.3620 alpha=60.00 beta=60.00 gamma=60.00
Last column: nearest neighbours and their distance in Å.
Atoms (fractional coordinates):
1 Sc 0.2500 0.2500 0.2500  4 Sm 3.28, 4 Pu 3.28
2 Sc 0.7500 0.7500 0.7500  4 Sm 3.28, 4 Pu 3.28
3 Pu 0.0000 0.0000 0.0000  8 Sc 3.28
4 Sm 0.5000 0.5000 0.5000  8 Sc 3.28

Results
- VASP energy: -7.77 eV per atom
- Calculated density: 7.377 g cm⁻³
- M_tot: 5.77 μB/f.u.
- E above lowest polymorph: 51 meV per atom
- SG: Fm-3m (225)
- Calculated volume: 27.25 Å³ per atom

=====

No. 11
A plane-wave DFT calculation with PBE was carried out for a relaxed structure of ZrSnS3.

Unit cell a=3.7107 b=8.1455 c=8.3792 alpha=105.01 beta=90.00 gamma=90.00
Last column: nearest neighbours and their distance in Å.
Atoms (fractional coordinates):
1 Sn 0.2500 0.3168 0.2034  2 S 2.62
2 Sn 0.7500 0.6832 0.7966  2 S 2.62
3 S 0.7500 0.0534 0.3383  3 Zr 2.63-2.64
4 S 0.2500 0.9466 0.6617  3 Zr 2.63-2.64
5 S 0.7500 0.6214 0.3656  2 Zr 2.54
6 S 0.7500 0.2698 0.9748  1 Zr 2.53, 2 Sn 2.62
7 S 0.2500 0.7302 0.0252  1 Zr 2.53, 2 Sn 2.62
8 S 0.2500 0.3786 0.6344  2 Zr 2.54
9 Zr 0.7500 0.1750 0.6621  6 S 2.53-2.64
10 Zr 0.2500 0.8250 0.3379  6 S 2.53-2.64

Results
- VASP energy: -6.00 eV per atom
- Calculated density: 4.156 g cm⁻³
- M_tot: 0.00 μB/f.u.
- Raw formation energy: -23.30 kcal/mol of atoms
- SG: P2_1/m (11)
- Calculated volume: 24.46 Å³ per atom

=====

No. 12
A plane-wave DFT calculation with PBE was carried out for a relaxed structure of MgPaBiAu.

Unit cell a=5.1742 b=5.1742 c=5.1742 alpha=60.00 beta=60.00 gamma=60.00
Last column: nearest neighbours and their distance in Å.
Atoms (fractional coordinates):
1 Bi 0.7500 0.7500 0.7500  4 Pa 3.17, 4 Mg 3.17
2 Pa 0.0000 0.0000 0.0000  4 Bi 3.17, 4 Au 3.17
3 Au 0.2500 0.2500 0.2500  4 Pa 3.17, 4 Mg 3.17
4 Mg 0.5000 0.5000 0.5000  4 Bi 3.17, 4 Au 3.17

Results
- VASP energy: -4.73 eV per atom
- Calculated density: 11.211 g cm⁻³
- M_tot: 1.11 μB/f.u.
- SG: F-43m (216)
- Calculated volume: 24.49 Å³ per atom